Below is crystalline Ho2Tm2Sc at its relaxed geometry, with properties calculated at the PBE level.

Calculated formation energy in eV/atom: 0.1673
Energy above the most stable polymorph in this dataset in kJ per mole of atoms: 12.2
E_tot in eV/atom: -4.7188
Spin magnetization in μB per formula unit: 0.00

Lattice parameters (Å, degrees): 8.989 8.989 3.665 90.00 90.00 90.00
Sites, in units of the cell vectors:
Ho: 0.131 0.369 0.000
Ho: 0.369 0.869 0.000
Ho: 0.631 0.131 0.000
Ho: 0.869 0.631 0.000
Tm: 0.169 0.669 0.500
Tm: 0.331 0.169 0.500
Tm: 0.669 0.831 0.500
Tm: 0.831 0.331 0.500
Sc: 0.000 0.000 0.000
Sc: 0.500 0.500 0.000